## K2SrLi (PBE)

Data for crystalline K2SrLi at its relaxed geometry.

a = 6.786 Å, b = 6.786 Å, c = 6.786 Å
α = 60.00°, β = 60.00°, γ = 60.00°
Fractional positions:
1 Sr 0.500 0.500 0.500
2 K 0.250 0.250 0.250
3 K 0.750 0.750 0.750
4 Li 0.000 0.000 0.000

Formation energy (eV/atom): 0.223
SG: No. 225
Total energy (eV per formula unit): -4.898
DOS at the Fermi energy (states/eV per cell): 3.82

---

## K2SrLi (PBE)

Data for crystalline K2SrLi at its relaxed geometry.

a = 6.937 Å, b = 4.304 Å, c = 7.248 Å
α = 82.25°, β = 90.00°, γ = 90.00°
Fractional positions:
1 K 0.000 0.052 0.016
2 K 0.000 0.448 0.484
3 Li 0.500 0.250 0.250
4 Sr 0.500 0.750 0.750

Formation energy (eV/atom): 0.175
SG: No. 10
Total energy (eV per formula unit): -5.091
DOS at the Fermi energy (states/eV per cell): 3.56

---

## KSrLi2Te (PBE)

Data for crystalline KSrLi2Te at its relaxed geometry.

a = 5.828 Å, b = 7.072 Å, c = 5.828 Å
α = 90.00°, β = 90.00°, γ = 90.00°
Each line ends with the local moment (μB).
Fractional positions:
1 Sr 0.000 0.000 0.000  0.12
2 K 0.000 0.500 0.000  0.00
3 Te 0.500 0.500 0.500  -0.03
4 Li 0.000 0.000 0.500  0.04
5 Li 0.500 0.000 0.000  0.05

E_form (uncorrected) (eV per formula unit): 2.73
SG: No. 123
Total energy (eV per formula unit): -7.020
DOS at the Fermi energy (states/eV per cell): 4.15

---

## KSrLi2Zn (PBE)

Data for crystalline KSrLi2Zn at its relaxed geometry.

a = 5.556 Å, b = 5.556 Å, c = 5.983 Å
α = 90.00°, β = 90.00°, γ = 90.00°
Fractional positions:
1 Sr 0.000 0.000 0.500
2 Zn 0.000 0.000 0.000
3 K 0.500 0.500 0.500
4 Li 0.000 0.500 0.000
5 Li 0.500 0.000 0.000

Formation energy (eV/atom): 0.122
SG: No. 123
Total energy (eV per formula unit): -7.269
DOS at the Fermi energy (states/eV per cell): 2.79

---

## K2SrLiZr (PBE)

Data for crystalline K2SrLiZr at its relaxed geometry.

a = 6.773 Å, b = 6.564 Å, c = 6.773 Å
α = 90.00°, β = 90.00°, γ = 90.00°
Each line ends with the local moment (μB).
Fractional positions:
1 Sr 0.000 0.500 0.000  0.19
2 K 0.000 0.000 0.500  0.06
3 K 0.500 0.000 0.000  0.05
4 Zr 0.000 0.000 0.000  1.88
5 Li 0.500 0.500 0.500  -0.01

Formation energy (eV/atom): 1.010
SG: No. 123
Total energy (eV per formula unit): -9.290
DOS at the Fermi energy (states/eV per cell): 2.62

---

## KLi4Ta (PBE)

Data for crystalline KLi4Ta at its relaxed geometry.

a = 5.823 Å, b = 5.823 Å, c = 5.823 Å
α = 60.00°, β = 60.00°, γ = 60.00°
Each line ends with the local moment (μB).
Fractional positions:
1 K 0.000 0.000 0.000  0.04
2 Li 0.861 0.380 0.380  0.01
3 Li 0.380 0.380 0.861  0.01
4 Li 0.380 0.861 0.380  0.01
5 Li 0.380 0.380 0.380  0.01
6 Ta 0.750 0.750 0.750  2.10

Formation energy (eV/atom): 0.776
SG: No. 216
Total energy (eV per formula unit): -15.951
DOS at the Fermi energy (states/eV per cell): 3.54

---

> Among the records above, which one has the lowest total energy?

KLi4Ta